This record from the Alexandria database describes crystalline LiMn8O16 at its relaxed geometry. The functional is PBE with a Hubbard U.

- DOS(E_F) (states/eV/atom) = 0.168
- M_tot (μB per formula unit) = 25.0
- mass density (Mg/m³) = 4.06
- energy (eV per atom) = -7.031

a = 5.911 Å, b = 8.298 Å, c = 11.700 Å
α = 90.00°, β = 90.00°, γ = 90.00°
Last column: magnetic moment on the atom in μB.
Sites, in units of the cell vectors:
O (0.779, 0.239, 0.000)  -0.11
O (0.000, 0.479, 0.367)  -0.10
O (0.500, 0.988, 0.891)  -0.17
O (0.500, 0.983, 0.391)  -0.15
O (0.216, 0.261, 0.750)  -0.16
O (0.716, 0.739, 0.250)  -0.16
O (0.221, 0.239, 0.000)  -0.11
O (0.718, 0.769, 0.000)  -0.17
O (0.284, 0.739, 0.250)  -0.16
O (0.000, 0.017, 0.891)  -0.15
O (0.279, 0.761, 0.500)  -0.11
O (0.000, 0.012, 0.391)  -0.17
O (0.284, 0.739, 0.750)  -0.16
O (0.000, 0.017, 0.109)  -0.15
O (0.500, 0.517, 0.358)  -0.16
O (0.218, 0.231, 0.500)  -0.17
O (0.716, 0.739, 0.750)  -0.16
O (0.000, 0.479, 0.633)  -0.10
O (0.500, 0.983, 0.609)  -0.15
O (0.500, 0.521, 0.867)  -0.10
O (0.000, 0.483, 0.142)  -0.16
O (0.782, 0.231, 0.500)  -0.17
O (0.784, 0.261, 0.250)  -0.16
O (0.784, 0.261, 0.750)  -0.16
O (0.000, 0.012, 0.609)  -0.17
O (0.500, 0.521, 0.133)  -0.10
O (0.216, 0.261, 0.250)  -0.16
O (0.500, 0.517, 0.642)  -0.16
O (0.500, 0.988, 0.109)  -0.17
O (0.000, 0.483, 0.858)  -0.16
O (0.721, 0.761, 0.500)  -0.11
O (0.282, 0.769, 0.000)  -0.17
Mn (0.750, 0.500, 0.250)  3.65
Mn (0.250, 0.500, 0.250)  3.65
Mn (0.750, 0.002, 0.000)  3.36
Mn (0.250, 0.998, 0.500)  3.36
Mn (0.750, 0.500, 0.750)  3.65
Mn (0.250, 0.002, 0.000)  3.36
Mn (0.000, 0.246, 0.625)  3.31
Mn (0.000, 0.250, 0.873)  3.30
Mn (0.500, 0.750, 0.373)  3.30
Mn (0.000, 0.246, 0.375)  3.31
Mn (0.500, 0.750, 0.627)  3.30
Mn (0.750, 0.998, 0.500)  3.36
Mn (0.000, 0.250, 0.127)  3.30
Mn (0.500, 0.754, 0.125)  3.31
Mn (0.500, 0.754, 0.875)  3.31
Mn (0.250, 0.500, 0.750)  3.65
Li (0.000, 0.622, 0.500)  0.01
Li (0.500, 0.378, 0.000)  0.01